Entry i
{"formula": "SrMnSb2Te", "functional": "PBE-GGA", "state": "optimized geometry", "lattice": [[-4.7034, 3.2392, 1.9299], [-3.6793, -3.2686, -3.4810], [-0.8201, -3.8750, 4.5053]], "species": ["Mn", "Sr", "Te", "Sb", "Sb"], "fractional_positions": [[0.5000, 0.5000, 0.5000], [0.0000, 0.0000, 0.0000], [0.0000, 0.0000, 0.5000], [0.5000, 0.0000, 0.0000], [0.0000, 0.5000, 0.0000]], "sg": "No. 123"}

---

Entry ii
{"formula": "SrMnSb2Te", "functional": "PBE-GGA", "state": "optimized geometry", "lattice": [[5.1706, 0.0000, 0.0000], [0.0000, 5.1706, 0.0000], [0.0000, 0.0000, 5.5985]], "species": ["Sb", "Te", "Sr", "Sb", "Mn"], "fractional_positions": [[0.5000, 0.0000, 0.0000], [0.0000, 0.0000, 0.5000], [0.5000, 0.5000, 0.5000], [0.0000, 0.5000, 0.0000], [0.0000, 0.0000, 0.0000]], "sg": "No. 123"}

---

Least stable of them? entry i.